# 1
Below is a relaxed structure of MgScTa2, with properties calculated at the GGA-PBE level.

Cell: 2.875 2.875 9.712 Å, 90.00 90.00 90.00°
Fractional coordinates of all 4 atoms:
Mg 0.000 0.000 0.491
Sc 0.500 0.500 0.765
Ta 0.000 0.000 0.004
Ta 0.500 0.500 0.241

- E_form: 0.7 eV per formula unit
- SG: P4mm, No. 99
- Uncorrected energy: -30.905 eV for the cell shown



# 2
Below is a relaxed structure of NdZr2Tc, with properties calculated at the GGA-PBE level.

Cell: 3.262 3.262 10.572 Å, 81.12 81.12 60.00°
Fractional coordinates of all 4 atoms:
Nd 0.000 0.000 0.000
Tc 0.500 0.500 0.500
Zr 0.103 0.103 0.690
Zr 0.897 0.897 0.310

- E_form: 0.8 eV per formula unit
- SG: R-3m, No. 166
- Uncorrected energy: -31.407 eV for the cell shown
- Distance to the lowest polymorph of the same formula: 29.8 kJ/mol of atoms



# 3
Below is a relaxed structure of Nd2SmY4Sc, with properties calculated at the GGA-PBE level.

Cell: 5.051 5.051 11.268 Å, 63.38 90.00 90.00°
Fractional coordinates of all 8 atoms:
Nd 0.000 0.000 0.000
Nd 0.500 0.000 0.500
Sm 0.500 0.500 0.000
Y 0.000 0.756 0.744
Y 0.000 0.244 0.256
Y 0.500 0.744 0.256
Y 0.500 0.256 0.744
Sc 0.000 0.500 0.500

- E_form: 0.3 eV per formula unit
- SG: P4/mmm, No. 123
- Uncorrected energy: -46.161 eV for the cell shown



# 4
Below is a relaxed structure of ErGa5Pd2, with properties calculated at the GGA-PBE level.

Cell: 3.898 6.482 6.482 Å, 70.96 72.50 72.50°
Fractional coordinates of all 8 atoms:
Er 0.000 0.000 0.000
Ga 0.000 0.500 0.500
Ga 0.642 0.550 0.166
Ga 0.358 0.450 0.834
Ga 0.358 0.834 0.450
Ga 0.642 0.166 0.550
Pd 0.742 0.758 0.758
Pd 0.258 0.242 0.242

- E_form: -4.2 eV per formula unit
- SG: Immm, No. 71
- Uncorrected energy: -34.246 eV for the cell shown



# 5
Below is a relaxed structure of Y2SiRh, with properties calculated at the GGA-PBE level.

Cell: 3.249 3.249 8.167 Å, 90.00 90.00 90.00°
Fractional coordinates of all 4 atoms:
Rh 0.000 0.000 0.558
Si 0.500 0.500 0.692
Y 0.000 0.000 0.940
Y 0.500 0.500 0.310

- SG: P4mm, No. 99
- Uncorrected energy: -27.694 eV for the cell shown
- Uncorrected formation energy: -0.498 eV/atom



# 6
Below is a relaxed structure of AcPmMg2, with properties calculated at the GGA-PBE level.

Cell: 5.646 5.646 5.646 Å, 60.00 60.00 60.00°
Fractional coordinates of all 4 atoms:
Ac 0.500 0.500 0.500
Mg 0.250 0.250 0.250
Mg 0.750 0.750 0.750
Pm 0.000 0.000 0.000

- E_form: -0.3 eV per formula unit
- SG: Fm-3m, No. 225
- Uncorrected energy: -12.369 eV for the cell shown
- Distance to the lowest polymorph of the same formula: 0.6 kJ/mol of atoms



# 7
Below is a relaxed structure of Tb2GaPd, with properties calculated at the GGA-PBE level.

Cell: 3.392 3.392 10.035 Å, 80.27 80.27 60.00°
Fractional coordinates of all 4 atoms:
Tb 0.090 0.090 0.731
Tb 0.910 0.910 0.269
Ga 0.500 0.500 0.500
Pd 0.000 0.000 0.000

- E_form: -0.6 eV per formula unit
- SG: R-3m, No. 166
- Uncorrected energy: -18.085 eV for the cell shown



# 8
Below is a relaxed structure of AsPt2Pb, with properties calculated at the GGA-PBE level.

Cell: 4.848 4.848 8.498 Å, 73.43 73.43 90.00°
Fractional coordinates of all 8 atoms:
Pb 0.000 0.000 0.000
Pb 0.750 0.250 0.500
As 0.500 0.500 0.000
As 0.250 0.750 0.500
Pt 0.542 0.125 0.250
Pt 0.208 0.625 0.250
Pt 0.375 0.458 0.750
Pt 0.875 0.792 0.750

- E_form: -0.6 eV per formula unit
- SG: I-42d, No. 122
- Uncorrected energy: -42.066 eV for the cell shown



# 9
Below is a relaxed structure of MnAg5Cl8, with properties calculated at the GGA-PBE level.

Cell: 7.831 7.831 7.831 Å, 104.60 104.60 119.73°
Fractional coordinates of all 14 atoms:
Mn 0.250 0.750 0.500
Ag 0.840 0.351 0.959
Ag 0.649 0.609 0.489
Ag 0.391 0.880 0.041
Ag 0.500 0.500 0.000
Ag 0.120 0.160 0.511
Cl 0.145 0.822 0.242
Cl 0.178 0.420 0.323
Cl 0.699 0.869 0.316
Cl 0.131 0.447 0.830
Cl 0.617 0.301 0.170
Cl 0.098 0.855 0.677
Cl 0.580 0.902 0.758
Cl 0.553 0.383 0.684

- SG: I-4, No. 82
- Uncorrected energy: -45.958 eV for the cell shown
- Uncorrected formation energy: -0.554 eV/atom



# 10
Below is a relaxed structure of Sm4DyHo3Te8, with properties calculated at the GGA-PBE level.

Cell: 8.719 8.854 8.720 Å, 119.50 120.00 90.00°
Fractional coordinates of all 16 atoms:
Sm 0.500 0.000 0.000
Sm 0.500 0.000 0.500
Sm 0.000 0.000 0.000
Sm 0.000 0.000 0.500
Dy 0.000 0.500 0.000
Ho 0.500 0.500 0.000
Ho 0.500 0.500 0.500
Ho 0.000 0.500 0.500
Te 0.247 0.741 0.994
Te 0.247 0.741 0.495
Te 0.253 0.260 0.506
Te 0.746 0.741 0.994
Te 0.254 0.259 0.006
Te 0.747 0.740 0.494
Te 0.753 0.259 0.505
Te 0.753 0.259 0.006

- SG: R-3m, No. 166
- Uncorrected energy: -83.427 eV for the cell shown
- Uncorrected formation energy: -1.318 eV/atom



# 11
Below is a relaxed structure of UPdAu, with properties calculated at the GGA-PBE level.

Cell: 3.500 3.500 5.552 Å, 108.37 108.37 90.00°
Fractional coordinates of all 3 atoms:
Au 0.324 0.324 0.648
U 0.007 0.007 0.014
Pd 0.669 0.669 0.338

- E_form: -0.7 eV per formula unit
- SG: I4mm, No. 107
- Uncorrected energy: -20.415 eV for the cell shown
- Distance to the lowest polymorph of the same formula: 8.3 kJ/mol of atoms



# 12
Below is a relaxed structure of CoPS3, with properties calculated at the GGA-PBE level.

Cell: 4.455 4.455 4.455 Å, 90.00 90.00 90.00°
Fractional coordinates of all 5 atoms:
P 0.000 0.000 0.000
S 0.000 0.500 0.000
S 0.000 0.000 0.500
S 0.500 0.000 0.000
Co 0.500 0.500 0.500

- SG: Pm-3m, No. 221
- Uncorrected energy: -20.751 eV for the cell shown
- Distance to the lowest polymorph of the same formula: 100.8 kJ/mol of atoms
- Uncorrected formation energy: 0.830 eV/atom